Entry from Alexandria: Ac5Nd2SmDy after structural relaxation (PBE).

Cell lengths 11.928, 11.928, 11.928 Å; angles 138.38, 138.38, 60.32 degrees
Fractional positions:
Ac1 0.000 0.000 0.000
Ac2 0.086 0.586 0.947
Ac3 0.139 0.086 0.500
Ac4 0.361 0.861 0.947
Ac5 0.414 0.361 0.500
Ac6 0.500 0.500 0.000
Ac7 0.586 0.639 0.500
Ac8 0.639 0.139 0.053
Ac9 0.861 0.914 0.500
Ac10 0.914 0.414 0.053
Nd1 0.122 0.378 0.500
Nd2 0.378 0.878 0.256
Nd3 0.622 0.122 0.744
Nd4 0.878 0.622 0.500
Sm1 0.250 0.250 0.000
Sm2 0.750 0.750 0.000
Dy1 0.250 0.750 0.500
Dy2 0.750 0.250 0.500

- Formation enthalpy at 0 K: 287 meV/atom
- Spin magnetization: 0.000 μB per formula unit
- Uncorrected energy: -73.6 eV per cell